[1]
Below is Sr2LiZnH6 after structural relaxation, with properties calculated at the PBE-GGA level.

Output
Mass density (g/cm³): 3.72
E (eV per atom): -2.9614

Lattice parameters (Å, degrees): 7.681 7.681 7.681 90.00 90.00 90.00
Space group Fm-3m (No. 225)
Asymmetric unit:
Sr  0.250  0.250  0.250
Li  0.000  0.000  0.000
Zn  0.000  0.000  0.500
H  0.000  0.000  0.254



[2]
Below is Sr2LiZnH6 after structural relaxation, with properties calculated at the PBE-GGA level.

Output
Mass density (g/cm³): 3.72
E (eV per atom): -2.9614

Lattice parameters (Å, degrees): 5.4275 5.4275 13.3288 90.00 90.00 120.00
Space group R-3 (No. 148, hexagonal axes)
Asymmetric unit:
Sr  0.0000  0.0000  0.2501
Li  0.0000  0.0000  0.0000
Zn  0.0000  0.0000  0.5000
H  0.0060  0.5039  0.2488



[3]
Below is Sr2LiZnH6 after structural relaxation, with properties calculated at the PBE-GGA level.

Output
Mass density (g/cm³): 3.72
E (eV per atom): -2.9608

Lattice parameters (Å, degrees): 5.427 5.427 7.680 90.00 90.00 90.00
Space group P-1 (No. 2)
Asymmetric unit:
Sr  0.000  0.000  0.250
Sr  0.500  0.500  0.250
Li  0.000  0.500  0.000
Li  0.500  0.000  0.500
Zn  0.000  0.500  0.500
Zn  0.500  0.000  0.000
H  0.001  0.499  0.253
H  0.243  0.751  0.500
H  0.250  0.257  0.501
H  0.251  0.245  0.999
H  0.255  0.751  0.000
H  0.499  0.000  0.247



[4]
Below is Li3TaH6 after structural relaxation, with properties calculated at the PBE-GGA level.

Output
Total moment (μB per formula unit): 2.00
Mass density (g/cm³): 3.65
E (eV per atom): -3.7675

Lattice parameters (Å, degrees): 7.232 7.232 7.232 90.00 90.00 90.00
Space group Fm-3m (No. 225)
Asymmetric unit:
Li  0.000  0.000  0.000
Li  0.250  0.250  0.250
Ta  0.000  0.000  0.500
H  0.000  0.000  0.244



[5]
Below is LiZrTl2H6 after structural relaxation, with properties calculated at the PBE-GGA level.

Output
Total moment (μB per formula unit): 0.01
Mass density (g/cm³): 7.07
E (eV per atom): -3.4933

Lattice parameters (Å, degrees): 7.839 7.839 7.839 90.00 90.00 90.00
Space group Fm-3m (No. 225)
Asymmetric unit:
Li  0.000  0.000  0.000
Zr  0.000  0.000  0.500
Tl  0.250  0.250  0.250
H  0.000  0.000  0.245



[6]
Below is Lu5H after structural relaxation, with properties calculated at the PBE-GGA level.

Output
Total moment (μB per formula unit): 1.19
Mass density (g/cm³): 7.30
E (eV per atom): -3.3053

Lattice parameters (Å, degrees): 6.2919 6.2919 5.8090 90.00 90.00 120.00
Space group P6/mmm (No. 191)
Asymmetric unit:
Lu  0.0000  0.5000  0.0000
Lu  0.3333  0.6667  0.5000
H  0.0000  0.0000  0.5000



[7]
Below is Lu2H after structural relaxation, with properties calculated at the PBE-GGA level.

Output
Relative energy among the computed polymorphs (kJ/mol of formula units): 0
Total moment (μB per formula unit): 0.00
Mass density (g/cm³): 5.29

Lattice parameters (Å, degrees): 9.586 9.586 9.586 90.00 90.00 90.00
Space group Fd-3m (No. 227, origin choice 2)
Asymmetric unit:
Lu  0.000  0.000  0.000
H  0.125  0.125  0.125



[8]
Below is LuP2H4NO7 after structural relaxation, with properties calculated at the PBE-GGA level.

Output
Total moment (μB per formula unit): 0.00
Mass density (g/cm³): 3.76
E (eV per atom): -6.7597

Lattice parameters (Å, degrees): 7.410 10.705 8.478 90.00 105.47 90.00
Space group P2_1/c (No. 14)
Asymmetric unit:
Lu  0.229  0.096  0.260
P  0.136  0.098  0.825
P  0.449  0.143  0.692
H  0.095  0.725  0.107
H  0.159  0.584  0.063
H  0.168  0.703  0.936
H  0.326  0.695  0.129
N  0.189  0.678  0.057
O  0.022  0.503  0.216
O  0.071  0.229  0.757
O  0.138  0.088  0.002
O  0.325  0.113  0.522
O  0.351  0.077  0.821
O  0.357  0.586  0.772
O  0.461  0.217  0.233



Which of these has the lowest mass density?
Li3TaH6



Number 2 is which compound?
Sr2LiZnH6